1.
BaCd2Sb after structural relaxation. Source: Alexandria via LeMat-Bulk, functional PBE-GGA.

abc: 5.2444 4.8825 5.5304
angles: 87.26 90.00 90.00
Element x y z (fractional)
Ba 0.5000 0.7500 0.7500
Cd 0.0000 0.1580 0.9965
Cd 0.0000 0.3420 0.5035
Sb 0.5000 0.2500 0.2500

Computed properties:
E_form (uncorrected), eV per atom: -0.362
D(E_F), states/eV/cell: 1.69
Symmetry: P2/m, No. 10



2.
BeCo2Tc after structural relaxation. Source: Alexandria via LeMat-Bulk, functional PBE-GGA.

abc: 4.3218 4.3218 4.2634
angles: 78.71 78.71 34.80
Site moments in Bohr magnetons follow the coordinates.
Element x y z (fractional)
Be 0.7413 0.7413 0.7956  0.00
Co 0.2545 0.2545 0.2689  0.06
Co 0.0011 0.0011 0.9614  0.20
Tc 0.5030 0.5030 0.4741  0.04

Computed properties:
D(E_F), states/eV/cell: 4.69
Offset from the most stable computed form, meV per atom: 194
Symmetry: Cm, No. 8
Energy of formation from the pure elements, meV/atom: 26.4



3.
NaHo2I6 after structural relaxation. Source: Alexandria via LeMat-Bulk, functional PBE-GGA.

abc: 7.5794 7.5334 7.5334
angles: 120.00 90.00 90.00
Element x y z (fractional)
I 0.7377 0.3459 0.0000
Ho 0.5000 0.3333 0.6667
I 0.2623 0.6541 0.0000
I 0.2623 0.3459 0.3459
I 0.2623 0.0000 0.6541
Ho 0.5000 0.6667 0.3333
I 0.7377 0.6541 0.6541
I 0.7377 0.0000 0.3459
Na 0.0000 0.0000 0.0000

Computed properties:
E_form (uncorrected), eV per atom: -1.246
D(E_F), states/eV/cell: 5.55
Symmetry: P-31m, No. 162



4.
CaNiMo2 after structural relaxation. Source: Alexandria via LeMat-Bulk, functional PBE-GGA.

abc: 3.2230 3.2230 6.9891
angles: 90.00 90.00 90.00
Element x y z (fractional)
Mo 0.5000 0.5000 0.2490
Ni 0.0000 0.0000 0.4519
Ca 0.5000 0.5000 0.7349
Mo 0.0000 0.0000 0.0643

Computed properties:
D(E_F), states/eV/cell: 3.37
Offset from the most stable computed form, meV per atom: 0
Symmetry: P4mm, No. 99
Energy of formation from the pure elements, meV/atom: 324.1



5.
SrCa2Sb after structural relaxation. Source: Alexandria via LeMat-Bulk, functional PBE-GGA.

abc: 4.3070 4.3065 7.7379
angles: 90.00 90.00 90.00
Element x y z (fractional)
Sr 0.5000 0.5000 0.7500
Sb 0.5000 0.5000 0.2500
Ca 0.0000 0.0000 0.0481
Ca 0.0000 0.0000 0.4519

Computed properties:
E_form (uncorrected), eV per atom: -0.455
D(E_F), states/eV/cell: 2.41
Symmetry: P4/mmm, No. 123



6.
BaAlCdAg3 after structural relaxation. Source: Alexandria via LeMat-Bulk, functional PBE-GGA.

abc: 6.7206 7.1934 7.4705
angles: 118.78 90.00 90.00
Element x y z (fractional)
Ba 0.2500 0.7164 0.4327
Ag 0.0000 0.3034 0.0000
Ag 0.7500 0.8096 0.6193
Ag 0.5000 0.3034 0.0000
Ag 0.5000 0.6966 0.0000
Ag 0.2500 0.1904 0.3807
Cd 0.7500 0.0225 0.0450
Ag 0.0000 0.6966 0.0000
Al 0.2500 0.3875 0.7751
Ba 0.7500 0.2836 0.5673
Cd 0.2500 0.9775 0.9550
Al 0.7500 0.6125 0.2249

Computed properties:
D(E_F), states/eV/cell: 5.97
Symmetry: Cmcm, No. 63
Energy of formation from the pure elements, meV/atom: -74.3



7.
LiYMn2 after structural relaxation. Source: Alexandria via LeMat-Bulk, functional PBE-GGA.

abc: 3.3332 3.3332 6.6918
angles: 90.00 90.00 90.00
Site moments in Bohr magnetons follow the coordinates.
Element x y z (fractional)
Y 0.5000 0.5000 0.2500  -0.30
Mn 0.0000 0.0000 0.5434  3.53
Mn 0.0000 0.0000 0.9566  3.53
Li 0.5000 0.5000 0.7500  -0.05

Computed properties:
D(E_F), states/eV/cell: 3.31
Offset from the most stable computed form, meV per atom: 121
Symmetry: P4/mmm, No. 123
Energy of formation from the pure elements, meV/atom: 365.8



8.
RbAgPd2W after structural relaxation. Source: Alexandria via LeMat-Bulk, functional PBE-GGA.

abc: 5.1024 5.4172 5.1024
angles: 90.00 90.00 90.00
Site moments in Bohr magnetons follow the coordinates.
Element x y z (fractional)
Rb 0.0000 0.5000 0.0000  0.03
Ag 0.0000 0.0000 0.0000  -0.01
Pd 0.5000 0.0000 0.0000  0.04
W 0.5000 0.5000 0.5000  3.27
Pd 0.0000 0.0000 0.5000  -0.04

Computed properties:
D(E_F), states/eV/cell: 3.49
Symmetry: P4/mmm, No. 123
Energy of formation from the pure elements, meV/atom: 1853.6



Going through the records in order, we get size of the total moment values of 0.000, 0.074, 0.000, 0.000, 0.000, 0.000, 1.699, 0.905 μB per atom.